DFT (GGA-PBE) results for a relaxed MgBe2Si crystal.

Lattice parameters (Å, degrees): 4.386 3.680 6.742 90.00 105.52 90.00
Space group P2_1/m (No. 11)
Asymmetric unit:
1 Mg 0.043 0.250 0.194 x2
2 Be 0.150 0.250 0.567 x2
3 Be 0.361 0.750 0.456 x2
4 Si 0.499 0.750 0.121 x2

Summary:
Excess energy over the best structure of this formula in the dataset ... 10 meV per atom
Raw formation energy ... 0.0590 eV/atom
Total moment ... 0.000 μB per atom